--- P ---
Computed, not measured: a relaxed ZnSiW crystal at the PBEsol level of DFT.

Computed properties:
- space-group type = F-43m
- density of states at the Fermi level (states/eV/atom) = 1.14
- magnetic moment (μB per cell) = 0.000

a b c (Å): 4.056 4.056 4.056
angles (deg): 60.00 60.00 60.00
Fractional coordinates of all 3 atoms:
Si (0.750, 0.750, 0.750)
W (0.000, 0.000, 0.000)
Zn (0.500, 0.500, 0.500)

---

--- Q ---
Computed, not measured: a relaxed ZnSiW crystal at the PBEsol level of DFT.

Computed properties:
- space-group type = I4mm
- density of states at the Fermi level (states/eV/atom) = 0.59
- magnetic moment (μB per cell) = 0.000

a b c (Å): 3.146 3.146 4.803
angles (deg): 109.12 109.12 90.00
Fractional coordinates of all 3 atoms:
Si (0.004, 0.004, 0.008)
W (0.658, 0.658, 0.315)
Zn (0.338, 0.338, 0.677)

---

Short version: Q, P, most stable first.

---

--- P ---
Computed, not measured: a relaxed Y3Si crystal at the PBEsol level of DFT.

Computed properties:
- space-group type = R-3m
- density of states at the Fermi level (states/eV/atom) = 1.50
- magnetic moment (μB per cell) = 0.004

a b c (Å): 3.602 3.602 10.044
angles (deg): 79.67 79.67 60.00
Fractional coordinates of all 4 atoms:
Si (0.000, 0.000, 0.000)
Y (0.732, 0.732, 0.804)
Y (0.500, 0.500, 0.500)
Y (0.268, 0.268, 0.196)

---

--- Q ---
Computed, not measured: a relaxed Y3Si crystal at the PBEsol level of DFT.

Computed properties:
- space-group type = I4/mmm
- density of states at the Fermi level (states/eV/atom) = 1.06
- magnetic moment (μB per cell) = 0.000

a b c (Å): 4.463 4.463 5.815
angles (deg): 112.57 112.57 90.00
Fractional coordinates of all 4 atoms:
Si (0.000, 0.000, 0.000)
Y (0.750, 0.250, 0.500)
Y (0.500, 0.500, 0.000)
Y (0.250, 0.750, 0.500)

---

Short version: Q, P, most stable first.

---

--- P ---
Computed, not measured: a relaxed YZr2Si crystal at the PBEsol level of DFT.

Computed properties:
- space-group type = P4/mmm
- density of states at the Fermi level (states/eV/atom) = 0.95
- magnetic moment (μB per cell) = 0.000

a b c (Å): 4.342 4.342 4.341
angles (deg): 90.00 90.00 90.00
Fractional coordinates of all 4 atoms:
Si (0.500, 0.500, 0.500)
Y (0.000, 0.000, 0.500)
Zr (0.000, 0.500, 0.000)
Zr (0.500, 0.000, 0.000)

---

--- Q ---
Computed, not measured: a relaxed YZr2Si crystal at the PBEsol level of DFT.

Computed properties:
- space-group type = R3m
- density of states at the Fermi level (states/eV/atom) = 1.12
- magnetic moment (μB per cell) = 0.000

a b c (Å): 3.328 3.328 9.497
angles (deg): 79.91 79.91 60.00
Fractional coordinates of all 4 atoms:
Si (0.496, 0.496, 0.511)
Y (0.239, 0.239, 0.282)
Zr (0.005, 0.005, 0.985)
Zr (0.759, 0.759, 0.722)

---

Short version: P, Q, most stable first.

---

--- P ---
Computed, not measured: a relaxed YZr2Si crystal at the PBEsol level of DFT.

Computed properties:
- space-group type = Imm2
- density of states at the Fermi level (states/eV/atom) = 0.80
- magnetic moment (μB per cell) = 0.000

a b c (Å): 4.020 4.415 5.559
angles (deg): 113.39 111.19 90.00
Fractional coordinates of all 4 atoms:
Si (0.509, 0.509, 0.018)
Y (0.763, 0.263, 0.527)
Zr (0.001, 0.001, 0.002)
Zr (0.226, 0.726, 0.453)

---

--- Q ---
Computed, not measured: a relaxed YZr2Si crystal at the PBEsol level of DFT.

Computed properties:
- space-group type = C2/m
- density of states at the Fermi level (states/eV/atom) = 1.03
- magnetic moment (μB per cell) = 0.000

a b c (Å): 3.148 5.207 5.654
angles (deg): 105.30 106.16 90.00
Fractional coordinates of all 4 atoms:
Si (0.500, 0.000, 0.000)
Y (0.000, 0.500, 0.000)
Zr (0.219, 0.217, 0.439)
Zr (0.781, 0.783, 0.561)

---

--- R ---
Computed, not measured: a relaxed YZr2Si crystal at the PBEsol level of DFT.

Computed properties:
- space-group type = Immm
- density of states at the Fermi level (states/eV/atom) = 0.84
- magnetic moment (μB per cell) = 0.000

a b c (Å): 3.848 4.575 5.641
angles (deg): 113.92 109.94 90.00
Fractional coordinates of all 4 atoms:
Si (0.000, 0.500, 0.000)
Y (0.500, 0.000, 0.000)
Zr (0.724, 0.724, 0.449)
Zr (0.276, 0.276, 0.551)

---

Short version: R, Q, P, most stable first.